Entry 1:
First-principles (PBE-GGA) data for a relaxed structure of Ca2FeCl6, as listed in the Alexandria database.

a = 13.8394 Å, b = 3.8764 Å, c = 11.3296 Å
α = 90.00°, β = 119.38°, γ = 90.00°
Closest atoms and distances in Å follow each position.
Space group C2/m (No. 12)
Symmetry-distinct sites (fractional):
Ca 0.1921 0.0000 0.3108 (multiplicity 4)  7 Cl 2.73-2.97
Fe 0.0000 0.5000 0.0000 (multiplicity 2)  4 Cl 2.32-2.36
Cl 0.0148 0.5000 0.2170 (multiplicity 4)  1 Fe 2.36
Cl 0.1600 0.0000 0.5363 (multiplicity 4)  3 Ca 2.73-2.80
Cl 0.1924 0.5000 0.1121 (multiplicity 4)  1 Fe 2.32

Calculated volume, Å³/cell: 529.64
Formation energy from raw total energies, kJ per mole of atoms: -167.12

***

Entry 2:
First-principles (PBE-GGA) data for a relaxed structure of CsCa3Se, as listed in the Alexandria database.

a = 6.0602 Å, b = 6.0602 Å, c = 6.0602 Å
α = 90.00°, β = 90.00°, γ = 90.00°
Closest atoms and distances in Å follow each position.
Space group Pm-3m (No. 221)
Symmetry-distinct sites (fractional):
Cs 0.0000 0.0000 0.0000 (multiplicity 1)  12 Ca 4.29
Ca 0.0000 0.5000 0.5000 (multiplicity 3)  2 Se 3.03
Se 0.5000 0.5000 0.5000 (multiplicity 1)  6 Ca 3.03

Calculated volume, Å³/cell: 222.57
Excess energy over the best structure of this formula in the dataset, eV/atom: 0.0000
Formation energy from raw total energies, kJ per mole of atoms: -39.80

***

Entry 3:
First-principles (PBE-GGA) data for a relaxed structure of TaVRu3, as listed in the Alexandria database.

a = 6.2349 Å, b = 6.2349 Å, c = 4.6689 Å
α = 90.00°, β = 90.00°, γ = 120.00°
Closest atoms and distances in Å follow each position.
Space group P6_3/mmc (No. 194)
Symmetry-distinct sites (fractional):
Ta 0.3333 0.6667 0.2500 (multiplicity 2)  6 Ru 2.78
V 0.0000 0.0000 0.0000 (multiplicity 2)  2 V 2.33, 6 Ru 2.39
Ru 0.1928 0.3856 0.7500 (multiplicity 6)  2 V 2.39, 2 Ru 2.63

Calculated volume, Å³/cell: 157.19
Excess energy over the best structure of this formula in the dataset, eV/atom: 0.0000
E_form, eV/atom: 0.355

***

Entry 4:
First-principles (PBE-GGA) data for a relaxed structure of Cs2NpCdCl6, as listed in the Alexandria database.

a = 7.7295 Å, b = 11.6001 Å, c = 9.4840 Å
α = 90.00°, β = 90.00°, γ = 90.00°
Closest atoms and distances in Å follow each position.
Space group Pmmn (No. 59, origin choice 2)
Symmetry-distinct sites (fractional):
Cs 0.2500 0.0251 0.1893 (multiplicity 4)  7 Cl 3.57-3.87
Np 0.2500 0.7500 0.8130 (multiplicity 2)  6 Cl 2.62-2.64
Cd 0.2500 0.2500 0.6773 (multiplicity 2)  6 Cl 3.43-3.57
Cl 0.0006 0.7500 0.6252 (multiplicity 4)  1 Np 2.62
Cl 0.0132 0.7500 0.0138 (multiplicity 4)  1 Np 2.64
Cl 0.2500 0.5225 0.8173 (multiplicity 4)  1 Np 2.64

Calculated volume, Å³/cell: 850.36
Formation energy from raw total energies, kJ per mole of atoms: -155.37

***

Entry 5:
First-principles (PBE-GGA) data for a relaxed structure of CaHfTc, as listed in the Alexandria database.

a = 3.5548 Å, b = 3.5548 Å, c = 11.3670 Å
α = 90.00°, β = 90.00°, γ = 90.00°
Closest atoms and distances in Å follow each position.
Space group P4/nmm (No. 129, origin choice 2)
Symmetry-distinct sites (fractional):
Ca 0.2500 0.2500 0.1405 (multiplicity 2)  1 Hf 3.17, 4 Tc 3.28
Hf 0.2500 0.2500 0.4191 (multiplicity 2)  5 Tc 2.73-2.90
Tc 0.2500 0.2500 0.6741 (multiplicity 2)  5 Hf 2.73-2.90

Calculated volume, Å³/cell: 143.64
Excess energy over the best structure of this formula in the dataset, eV/atom: 0.0000
E_form, eV/atom: -0.078

***

Question: calculated volume of number 2 (CsCa3Se)?
Answer: 222.57 Å³/cell

***

Question: Which formula does entry 1 have?
Answer: Ca2FeCl6

***

Question: What is the calculated volume in the first record?
Answer: 529.64 Å³/cell

***

Question: What is the formula in the fifth record?
Answer: CaHfTc